1.
A plane-wave DFT calculation with PBE-GGA was carried out for a relaxed structure of Nb3CdO.

Cell lengths 4.319, 4.319, 4.319 Å; angles 90.00, 90.00, 90.00 degrees
Sites, in units of the cell vectors:
Nb 0.000 0.000 0.500
Nb 0.000 0.500 0.000
Nb 0.500 0.000 0.000
Cd 0.500 0.500 0.500
O 0.000 0.000 0.000

## Properties
**E above lowest polymorph**: 0 meV/atom
**Uncorrected formation energy**: -0.559 eV/atom

---

2.
A plane-wave DFT calculation with PBE-GGA was carried out for a relaxed structure of NbCdO4.

Cell lengths 6.640, 6.640, 6.640 Å; angles 132.73, 132.73, 69.07 degrees
Sites, in units of the cell vectors:
Nb 0.375 0.125 0.250
Nb 0.625 0.875 0.750
Cd 0.125 0.375 0.750
Cd 0.875 0.625 0.250
O 0.101 0.789 0.833
O 0.232 0.399 0.188
O 0.289 0.956 0.688
O 0.456 0.268 0.667
O 0.544 0.732 0.333
O 0.711 0.044 0.312
O 0.768 0.601 0.812
O 0.899 0.211 0.167

## Properties
**Uncorrected formation energy**: -1.664 eV/atom

---

3.
A plane-wave DFT calculation with PBE-GGA was carried out for a relaxed structure of Nb3CdO.

Cell lengths 5.003, 5.003, 5.003 Å; angles 90.00, 90.00, 90.00 degrees
Sites, in units of the cell vectors:
Nb 0.000 0.000 0.500
Nb 0.000 0.500 0.000
Nb 0.500 0.000 0.000
Cd 0.000 0.000 0.000
O 0.500 0.500 0.500

## Properties
**E above lowest polymorph**: 3016 meV/atom
**Uncorrected formation energy**: 2.456 eV/atom

---

4.
A plane-wave DFT calculation with PBE-GGA was carried out for a relaxed structure of Nb6Cd4O19.

Cell lengths 8.026, 8.026, 8.026 Å; angles 109.47, 109.47, 109.47 degrees
Sites, in units of the cell vectors:
Nb 0.173 0.673 0.500
Nb 0.327 0.500 0.827
Nb 0.500 0.173 0.673
Nb 0.500 0.827 0.327
Nb 0.673 0.500 0.173
Nb 0.827 0.327 0.500
Cd 0.000 0.000 0.722
Cd 0.000 0.722 0.000
Cd 0.278 0.278 0.278
Cd 0.722 0.000 0.000
O 0.000 0.000 0.000
O 0.000 0.367 0.367
O 0.000 0.633 0.633
O 0.036 0.286 0.687
O 0.250 0.964 0.651
O 0.286 0.687 0.036
O 0.313 0.600 0.349
O 0.349 0.313 0.600
O 0.367 0.000 0.367
O 0.367 0.367 0.000
O 0.400 0.714 0.750
O 0.600 0.349 0.313
O 0.633 0.000 0.633
O 0.633 0.633 0.000
O 0.651 0.250 0.964
O 0.687 0.036 0.286
O 0.714 0.750 0.400
O 0.750 0.400 0.714
O 0.964 0.651 0.250

## Properties
**Uncorrected formation energy**: -2.071 eV/atom

---

5.
A plane-wave DFT calculation with PBE-GGA was carried out for a relaxed structure of NbCdOsO2.

Cell lengths 3.907, 3.907, 6.026 Å; angles 90.00, 90.00, 90.00 degrees
Sites, in units of the cell vectors:
Nb 0.000 0.000 0.000
Cd 0.000 0.000 0.500
Os 0.500 0.500 0.000
O 0.000 0.500 0.500
O 0.500 0.000 0.500

## Properties
**Uncorrected formation energy**: 1.250 eV/atom

---

6.
A plane-wave DFT calculation with PBE-GGA was carried out for a relaxed structure of NbCdPO2.

Cell lengths 3.934, 3.934, 5.337 Å; angles 90.00, 90.00, 90.00 degrees
Sites, in units of the cell vectors:
Nb 0.000 0.000 0.000
Cd 0.500 0.500 0.500
P 0.000 0.000 0.500
O 0.000 0.500 0.000
O 0.500 0.000 0.000

## Properties
**E above lowest polymorph**: 0 meV/atom
**Uncorrected formation energy**: -1.326 eV/atom

---

7.
A plane-wave DFT calculation with PBE-GGA was carried out for a relaxed structure of NbCdPO2.

Cell lengths 4.010, 4.010, 5.074 Å; angles 90.00, 90.00, 90.00 degrees
Sites, in units of the cell vectors:
Nb 0.000 0.000 0.000
Cd 0.500 0.500 0.500
P 0.500 0.500 0.000
O 0.000 0.500 0.500
O 0.500 0.000 0.500

## Properties
**E above lowest polymorph**: 1774 meV/atom
**Uncorrected formation energy**: 0.449 eV/atom

---

8.
A plane-wave DFT calculation with PBE-GGA was carried out for a relaxed structure of NbCdP2O.

Cell lengths 4.997, 4.997, 3.895 Å; angles 90.00, 90.00, 90.00 degrees
Sites, in units of the cell vectors:
Nb 0.000 0.000 0.000
Cd 0.500 0.500 0.500
P 0.000 0.500 0.000
P 0.500 0.000 0.000
O 0.000 0.000 0.500

## Properties
**E above lowest polymorph**: 0 meV/atom
**Uncorrected formation energy**: -0.413 eV/atom

---

9.
A plane-wave DFT calculation with PBE-GGA was carried out for a relaxed structure of NbCdP2O.

Cell lengths 4.864, 4.864, 3.940 Å; angles 90.00, 90.00, 90.00 degrees
Sites, in units of the cell vectors:
Nb 0.000 0.000 0.000
Cd 0.500 0.500 0.500
P 0.000 0.500 0.500
P 0.500 0.000 0.500
O 0.500 0.500 0.000

## Properties
**E above lowest polymorph**: 1366 meV/atom
**Uncorrected formation energy**: 0.954 eV/atom

---

10.
A plane-wave DFT calculation with PBE-GGA was carried out for a relaxed structure of PaNbCdO6.

Cell lengths 5.651, 5.651, 9.415 Å; angles 90.00, 90.00, 120.00 degrees
Sites, in units of the cell vectors:
Pa 0.333 0.667 0.250
Pa 0.667 0.333 0.750
Nb 0.333 0.667 0.750
Nb 0.667 0.333 0.250
Cd 0.000 0.000 0.000
Cd 0.000 0.000 0.500
O 0.021 0.370 0.637
O 0.021 0.651 0.863
O 0.349 0.370 0.863
O 0.349 0.979 0.637
O 0.370 0.021 0.137
O 0.370 0.349 0.363
O 0.630 0.651 0.637
O 0.630 0.979 0.863
O 0.651 0.021 0.363
O 0.651 0.630 0.137
O 0.979 0.349 0.137
O 0.979 0.630 0.363

## Properties
**Uncorrected formation energy**: -2.589 eV/atom

---

11.
A plane-wave DFT calculation with PBE-GGA was carried out for a relaxed structure of NbCdPbO6.

Cell lengths 5.607, 5.607, 9.384 Å; angles 90.00, 90.00, 120.00 degrees
Sites, in units of the cell vectors:
Nb 0.333 0.667 0.250
Nb 0.667 0.333 0.750
Cd 0.000 0.000 0.000
Cd 0.000 0.000 0.500
Pb 0.333 0.667 0.750
Pb 0.667 0.333 0.250
O 0.025 0.370 0.132
O 0.025 0.655 0.368
O 0.345 0.370 0.368
O 0.345 0.975 0.132
O 0.370 0.025 0.632
O 0.370 0.345 0.868
O 0.630 0.655 0.132
O 0.630 0.975 0.368
O 0.655 0.025 0.868
O 0.655 0.630 0.632
O 0.975 0.345 0.632
O 0.975 0.630 0.868

## Properties
**Uncorrected formation energy**: -1.315 eV/atom

---

12.
A plane-wave DFT calculation with PBE-GGA was carried out for a relaxed structure of NbCd2PbO6.

Cell lengths 6.026, 6.026, 6.026 Å; angles 56.85, 56.85, 56.85 degrees
Sites, in units of the cell vectors:
Nb 0.000 0.000 0.000
Cd 0.219 0.219 0.219
Cd 0.722 0.722 0.722
Pb 0.493 0.493 0.493
O 0.108 0.817 0.368
O 0.257 0.657 0.910
O 0.368 0.108 0.817
O 0.657 0.910 0.257
O 0.817 0.368 0.108
O 0.910 0.257 0.657

## Properties
**Uncorrected formation energy**: -1.512 eV/atom

---

13.
A plane-wave DFT calculation with PBE-GGA was carried out for a relaxed structure of PmNb2CdO8.

Cell lengths 6.786, 6.786, 6.786 Å; angles 133.66, 133.66, 67.63 degrees
Sites, in units of the cell vectors:
Pm 0.000 0.000 0.000
Nb 0.500 0.500 0.000
Nb 0.750 0.250 0.500
Cd 0.250 0.750 0.500
O 0.015 0.099 0.431
O 0.234 0.653 0.068
O 0.347 0.415 0.581
O 0.416 0.985 0.084
O 0.585 0.166 0.932
O 0.668 0.584 0.569
O 0.834 0.766 0.419
O 0.901 0.332 0.916

## Properties
**Uncorrected formation energy**: -2.363 eV/atom

---

14.
A plane-wave DFT calculation with PBE-GGA was carried out for a relaxed structure of PmNbCd2O6.

Cell lengths 6.005, 6.005, 6.005 Å; angles 56.96, 56.96, 56.96 degrees
Sites, in units of the cell vectors:
Pm 0.000 0.000 0.000
Nb 0.503 0.503 0.503
Cd 0.230 0.230 0.230
Cd 0.721 0.721 0.721
O 0.161 0.402 0.760
O 0.314 0.866 0.613
O 0.402 0.760 0.161
O 0.613 0.314 0.866
O 0.760 0.161 0.402
O 0.866 0.613 0.314

## Properties
**Uncorrected formation energy**: -2.168 eV/atom

---

15.
A plane-wave DFT calculation with PBE-GGA was carried out for a relaxed structure of NbCd2PtO6.

Cell lengths 5.575, 5.575, 4.281 Å; angles 90.00, 90.00, 90.00 degrees
Sites, in units of the cell vectors:
Nb 0.000 0.000 0.000
Cd 0.000 0.500 0.455
Cd 0.500 0.000 0.455
Pt 0.500 0.500 0.055
O 0.000 0.000 0.560
O 0.247 0.247 0.077
O 0.247 0.753 0.077
O 0.500 0.500 0.556
O 0.753 0.247 0.077
O 0.753 0.753 0.077

## Properties
**Uncorrected formation energy**: -1.137 eV/atom

---

16.
A plane-wave DFT calculation with PBE-GGA was carried out for a relaxed structure of PuNbCdO6.

Cell lengths 5.561, 5.561, 9.518 Å; angles 90.00, 90.00, 120.00 degrees
Sites, in units of the cell vectors:
Pu 0.333 0.667 0.250
Pu 0.667 0.333 0.750
Nb 0.333 0.667 0.750
Nb 0.667 0.333 0.250
Cd 0.000 0.000 0.000
Cd 0.000 0.000 0.500
O 0.015 0.367 0.638
O 0.015 0.647 0.862
O 0.353 0.367 0.862
O 0.353 0.985 0.638
O 0.367 0.015 0.138
O 0.367 0.353 0.362
O 0.633 0.647 0.638
O 0.633 0.985 0.862
O 0.647 0.015 0.362
O 0.647 0.633 0.138
O 0.985 0.353 0.138
O 0.985 0.633 0.362

## Properties
**Uncorrected formation energy**: -2.257 eV/atom

---

17.
A plane-wave DFT calculation with PBE-GGA was carried out for a relaxed structure of Rb2NbCd2O6.

Cell lengths 5.753, 5.753, 7.008 Å; angles 100.18, 100.18, 117.17 degrees
Sites, in units of the cell vectors:
Rb 0.175 0.825 0.000
Rb 0.825 0.175 0.000
Nb 0.000 0.000 0.500
Cd 0.335 0.665 0.500
Cd 0.665 0.335 0.500
O 0.048 0.347 0.678
O 0.234 0.234 0.339
O 0.347 0.048 0.678
O 0.653 0.952 0.322
O 0.766 0.766 0.661
O 0.952 0.653 0.322

## Properties
**Uncorrected formation energy**: -1.544 eV/atom

---

18.
A plane-wave DFT calculation with PBE-GGA was carried out for a relaxed structure of Rb2NbCdO4.

Cell lengths 6.271, 6.271, 6.271 Å; angles 118.85, 118.85, 92.00 degrees
Sites, in units of the cell vectors:
Rb 0.000 0.000 0.000
Rb 0.750 0.250 0.500
Nb 0.500 0.500 0.000
Cd 0.250 0.750 0.500
O 0.232 0.181 0.656
O 0.424 0.768 0.949
O 0.525 0.576 0.344
O 0.819 0.475 0.051

## Properties
**Uncorrected formation energy**: -1.787 eV/atom

---

19.
A plane-wave DFT calculation with PBE-GGA was carried out for a relaxed structure of NbCdRu2O.

Cell lengths 4.887, 4.887, 5.210 Å; angles 90.00, 90.00, 90.00 degrees
Sites, in units of the cell vectors:
Nb 0.000 0.000 0.000
Cd 0.000 0.000 0.500
Ru 0.000 0.500 0.500
Ru 0.500 0.000 0.500
O 0.500 0.500 0.000

## Properties
**Uncorrected formation energy**: 2.588 eV/atom

---

20.
A plane-wave DFT calculation with PBE-GGA was carried out for a relaxed structure of NbCd2SO.

Cell lengths 4.970, 4.970, 4.551 Å; angles 90.00, 90.00, 90.00 degrees
Sites, in units of the cell vectors:
Nb 0.000 0.000 0.000
Cd 0.000 0.500 0.500
Cd 0.500 0.000 0.500
S 0.000 0.000 0.500
O 0.500 0.500 0.000

## Properties
**Uncorrected formation energy**: 0.753 eV/atom

---

21.
A plane-wave DFT calculation with PBE-GGA was carried out for a relaxed structure of ScNbCd2O6.

Cell lengths 5.508, 5.663, 9.687 Å; angles 90.00, 124.47, 90.00 degrees
Sites, in units of the cell vectors:
Sc 0.000 0.000 0.000
Sc 0.000 0.500 0.500
Nb 0.500 0.000 0.500
Nb 0.500 0.500 0.000
Cd 0.260 0.044 0.750
Cd 0.260 0.456 0.250
Cd 0.740 0.544 0.750
Cd 0.740 0.956 0.250
O 0.152 0.044 0.256
O 0.152 0.456 0.756
O 0.253 0.691 0.053
O 0.253 0.809 0.553
O 0.372 0.203 0.058
O 0.372 0.297 0.558
O 0.628 0.703 0.442
O 0.628 0.797 0.942
O 0.747 0.191 0.447
O 0.747 0.309 0.947
O 0.848 0.544 0.244
O 0.848 0.956 0.744

## Properties
**Uncorrected formation energy**: -2.197 eV/atom